Run a
Tc2AsCl (GGA-PBE, relaxed); total moment = 0.0 μB per formula unit; crystal system = trigonal; V = 74.6 Å³ per cell
1.0
10.138 0.040 0.024
9.702 2.944 0.024
9.702 1.459 2.557
As Tc Cl
1 2 1
Direct
0.525 0.525 0.525
0.995 0.995 0.995
0.257 0.257 0.257
0.723 0.723 0.723

---

Run b
Tc2AsCl (GGA-PBE, relaxed); total moment = 0.0 μB per formula unit; crystal system = tetragonal; V = 62.1 Å³ per cell
1.0
4.779 0.007 0.000
1.392 4.572 0.000
-3.086 -2.290 2.842
Tc Cl As
2 1 1
Direct
0.000 0.000 0.000
0.250 0.750 0.500
0.750 0.250 0.500
0.500 0.500 0.000

---

Run c
Tc2AsCl (GGA-PBE, relaxed); total moment = 0.4 μB per formula unit; crystal system = orthorhombic; V = 73.4 Å³ per cell
1.0
2.921 -0.012 0.000
-1.462 2.528 0.000
0.000 0.000 9.960
Tc Cl As
2 1 1
Direct
0.500 0.500 0.230
0.000 0.000 0.012
0.500 0.500 0.815
0.000 0.000 0.443

---

The data favor run a; the next most stable structure lies 27.7 kJ/mol of atoms above it.

---

Run a
TcAsCl (GGA-PBE, relaxed); total moment = 0.0 μB per formula unit; crystal system = tetragonal; V = 62.6 Å³ per cell
1.0
7.321 0.038 0.000
6.079 4.079 0.000
-6.700 -2.059 2.114
Tc Cl As
1 1 1
Direct
0.667 0.667 0.000
0.279 0.279 0.000
0.054 0.054 0.000

---

Run b
TcAsCl (GGA-PBE, relaxed); total moment = 0.0 μB per formula unit; crystal system = orthorhombic; V = 62.5 Å³ per cell
1.0
8.242 -0.054 0.033
7.418 2.873 0.025
0.823 -1.348 2.599
Tc Cl As
1 1 1
Direct
0.332 0.332 0.668
0.709 0.709 0.291
0.959 0.959 0.041

---

The data favor run a; the next most stable structure lies 17.5 kJ/mol of atoms above it.

---

Run a
TcAsCl (GGA-PBE, relaxed); total moment = 0.8 μB per formula unit; crystal system = cubic; V = 55.1 Å³ per cell
1.0
-1.023 3.206 -2.632
-2.170 -0.795 -3.594
-4.069 1.252 -0.360
Cl As Tc
1 1 1
Direct
0.500 0.500 0.500
0.000 0.000 0.000
0.750 0.750 0.750

---

Run b
TcAsCl (GGA-PBE, relaxed); total moment = 0.0 μB per formula unit; crystal system = trigonal; V = 63.9 Å³ per cell
1.0
3.114 0.000 0.000
-1.557 2.697 0.000
0.000 0.000 7.610
Cl Tc As
1 1 1
Direct
0.667 0.333 0.431
0.333 0.667 0.667
0.000 0.000 0.902

---

The data favor run b; the next most stable structure lies 31.3 kJ/mol of atoms above it.

---

Run a
TcAs2Cl2 (GGA-PBE, relaxed); total moment = 0.6 μB per formula unit; crystal system = tetragonal; V = 242.1 Å³ per cell
1.0
6.841 0.000 0.000
0.000 6.841 0.000
0.000 0.000 5.174
Cl Tc As
4 2 4
Direct
0.758 0.742 0.500
0.742 0.242 0.500
0.258 0.758 0.500
0.242 0.258 0.500
0.500 0.500 0.000
0.000 0.000 0.000
0.246 0.254 0.000
0.754 0.746 0.000
0.746 0.246 0.000
0.254 0.754 0.000

---

Run b
TcAs2Cl2 (GGA-PBE, relaxed); total moment = 0.2 μB per formula unit; crystal system = tetragonal; V = 116.2 Å³ per cell
1.0
3.419 0.000 0.000
0.000 3.419 0.000
1.709 1.709 9.938
Cl As Tc
2 2 1
Direct
0.250 0.750 0.500
0.750 0.250 0.500
0.565 0.565 0.869
0.435 0.435 0.131
0.000 0.000 0.000

---

The data favor run a; the next most stable structure lies 9.4 kJ/mol of atoms above it.

---

Run a
TcAs3Cl (GGA-PBE, relaxed); total moment = 0.0 μB per formula unit; crystal system = cubic; V = 112.9 Å³ per cell
1.0
4.833 0.000 0.000
0.000 4.833 0.000
0.000 0.000 4.833
Tc Cl As
1 1 3
Direct
0.000 0.000 0.000
0.500 0.500 0.500
0.000 0.000 0.500
0.000 0.500 0.000
0.500 0.000 0.000

---

Run b
TcAs3Cl (GGA-PBE, relaxed); total moment = 1.9 μB per formula unit; crystal system = cubic; V = 107.3 Å³ per cell
1.0
-3.896 1.855 1.990
-2.397 -0.695 -4.044
-1.288 -4.319 1.505
As Cl Tc
3 1 1
Direct
0.000 0.000 0.500
0.000 0.500 0.000
0.500 0.000 0.000
0.000 0.000 0.000
0.500 0.500 0.500

---

The data favor run a; the next most stable structure lies 111.5 kJ/mol of atoms above it.

---

Run a
TeAsCl2 (GGA-PBE, relaxed); total moment = 0.0 μB per formula unit; crystal system = orthorhombic; V = 88.9 Å³ per cell
1.0
-4.233 3.096 1.785
0.725 -4.523 3.115
1.946 1.590 1.856
As Te Cl
1 1 2
Direct
0.000 0.500 0.500
0.500 0.000 0.500
0.000 0.000 0.000
0.500 0.500 0.000

---

Run b
TeAsCl2 (GGA-PBE, relaxed); total moment = 0.0 μB per formula unit; crystal system = monoclinic; V = 127.8 Å³ per cell
1.0
-3.093 -5.651 3.904
-0.445 -4.962 5.651
-3.373 1.853 4.384
Te As Cl
1 1 2
Direct
0.750 0.750 0.750
0.250 0.250 0.250
0.894 0.894 0.106
0.606 0.606 0.394

---

The data favor run b; the next most stable structure lies 36.9 kJ/mol of atoms above it.

---

Run a
TeAsCl2 (GGA-PBE, relaxed); total moment = 0.0 μB per formula unit; crystal system = monoclinic; V = 95.6 Å³ per cell
1.0
5.695 0.002 -0.004
-2.192 5.257 -0.004
1.738 2.608 3.190
Cl As Te
2 1 1
Direct
0.500 0.500 0.000
0.000 0.000 0.000
0.000 0.500 0.500
0.500 0.000 0.500

---

Run b
TeAsCl2 (GGA-PBE, relaxed); total moment = 0.0 μB per formula unit; crystal system = monoclinic; V = 143.8 Å³ per cell
1.0
3.867 0.000 0.000
0.000 8.348 0.022
0.000 4.732 4.466
Te As Cl
1 1 2
Direct
0.000 0.494 0.564
0.500 0.643 0.678
0.500 0.358 0.181
0.000 0.005 0.077

---

The data favor run b; the next most stable structure lies 40.4 kJ/mol of atoms above it.

---

Run a
TeAsCl2 (GGA-PBE, relaxed); total moment = 0.0 μB per formula unit; crystal system = monoclinic; V = 658.0 Å³ per cell
1.0
5.839 0.000 0.000
0.000 7.551 -0.984
0.000 -1.909 15.172
Cl As Te
8 4 4
Direct
0.274 0.156 0.510
0.726 0.844 0.490
0.375 0.075 0.128
0.774 0.344 0.990
0.226 0.656 0.010
0.625 0.925 0.872
0.875 0.425 0.372
0.125 0.575 0.628
0.022 0.704 0.411
0.978 0.296 0.589
0.522 0.796 0.089
0.478 0.204 0.911
0.967 0.811 0.261
0.467 0.689 0.239
0.533 0.311 0.761
0.033 0.189 0.739

---

Run b
TeAsCl2 (GGA-PBE, relaxed); total moment = 0.0 μB per formula unit; crystal system = trigonal; V = 97.6 Å³ per cell
1.0
1.927 0.000 10.124
-0.963 1.669 10.124
-0.963 -1.669 10.124
As Cl Te
1 2 1
Direct
0.500 0.500 0.500
0.101 0.101 0.101
0.899 0.899 0.899
0.000 0.000 0.000

---

Run c
TeAsCl2 (GGA-PBE, relaxed); total moment = 0.0 μB per formula unit; crystal system = tetragonal; V = 133.3 Å³ per cell
1.0
-4.005 0.335 -1.271
0.533 -3.311 -2.551
-2.139 -4.602 5.527
Cl As Te
2 1 1
Direct
0.500 0.500 0.334
0.000 0.000 0.926
0.500 0.500 0.631
0.000 0.000 0.609

---

The data favor run a; the next most stable structure lies 13.3 kJ/mol of atoms above it.